The following is a SCAN calculation of a crystal of SiAg2Cl relaxed with PBEsol, from the Alexandria database.

```
4
Lattice="3.116 0.000 0.000 0.000 4.867 -0.014 0.000 -1.607 4.594" Properties=species:S:1:pos:R:3 pbc="T T T"
Cl 1.558 0.000 0.000
Ag 0.000 2.433 -0.007
Ag 0.000 -0.804 2.297
Si 1.558 1.630 2.290
```

Properties
Formation energy from raw total energies (eV per atom): 0.28
Calculated total energy (eV per cell): -79.6
Total moment (μB per atom): 0.000
Symmetry: Cmmm


The following is a SCAN calculation of a crystal of In2HgMo relaxed with PBEsol, from the Alexandria database.

```
4
Lattice="-1.677 -0.573 2.365 1.946 -2.040 0.886 4.614 6.506 4.847" Properties=species:S:1:pos:R:3 pbc="T T T"
Mo 2.323 3.275 2.440
In 4.577 6.454 4.808
Hg 3.472 3.399 5.131
In 1.432 0.523 2.988
```

Properties
Calculated total energy (eV per cell): -168.1
Total moment (μB per atom): 0.000
E_form (meV/atom): 419.4
Symmetry: P4mm


The following is a SCAN calculation of a crystal of Mg2SbPb relaxed with PBEsol, from the Alexandria database.

```
4
Lattice="-3.770 -1.669 -2.044 -0.449 -3.421 3.621 -0.302 5.240 1.458" Properties=species:S:1:pos:R:3 pbc="T T T"
Mg -3.320 -1.192 1.916
Sb -1.885 -0.835 -1.022
Mg -1.201 1.342 1.119
Pb -0.224 -1.710 1.811
```

Properties
Formation energy from raw total energies (eV per atom): -0.15
Calculated total energy (eV per cell): -123.6
Total moment (μB per atom): 0.000
Symmetry: Immm


The following is a SCAN calculation of a crystal of KLiAu4 relaxed with PBEsol, from the Alexandria database.

```
6
Lattice="5.558 0.000 0.000 2.779 4.813 0.000 2.779 1.604 4.538" Properties=species:S:1:pos:R:3 pbc="T T T"
Au 4.165 2.404 1.700
Au 5.558 3.209 3.975
Au 5.558 4.818 1.700
K 8.337 4.813 3.403
Li 0.000 0.000 0.000
Au 6.951 2.404 1.700
```

Properties
Calculated total energy (eV per cell): -289.5
Total moment (μB per atom): 0.000
E_form (meV/atom): -367.2
Symmetry: F-43m


The following is a SCAN calculation of a crystal of Gd2TiO5 relaxed with PBEsol, from the Alexandria database.

```
32
Lattice="6.862 0.000 0.397 0.000 7.037 0.000 -1.683 0.000 9.259" Properties=species:S:1:pos:R:3 pbc="T T T"
Ti 2.716 4.245 2.960
Gd 4.945 0.840 0.579
O 3.847 3.028 3.614
O 4.764 6.546 6.240
O 0.378 6.523 6.762
O -0.861 2.263 5.524
O 2.522 6.195 8.537
O 2.183 2.511 8.494
O 2.609 5.781 3.934
O 2.658 0.842 1.119
Ti 2.464 2.792 6.696
O 1.370 3.004 2.696
Gd 2.561 6.012 6.239
O -1.248 1.008 8.296
O 6.427 6.029 1.360
O 6.041 4.774 4.132
Ti -0.968 0.727 6.498
Ti 6.147 6.310 3.159
Gd 0.234 6.197 9.077
O 4.801 0.514 2.894
Gd 3.665 4.358 9.275
O 1.333 4.009 6.042
O 2.996 4.526 1.162
O 0.416 0.491 3.416
Gd 1.514 2.678 0.381
O 2.570 1.255 5.722
Gd 6.050 2.493 3.615
O 6.089 2.677 1.317
O 3.810 4.033 6.961
O -0.910 4.360 8.339
Gd -0.871 4.544 6.041
Gd 2.619 1.025 3.417
```

Properties
Formation energy from raw total energies (eV per atom): -3.62
Calculated total energy (eV per cell): -775.0
Total moment (μB per atom): 1.749
Symmetry: P2_1/c


The following is a SCAN calculation of a crystal of BaTl4Hg relaxed with PBEsol, from the Alexandria database.

```
6
Lattice="6.369 0.000 0.000 3.185 5.516 0.000 3.185 1.839 5.201" Properties=species:S:1:pos:R:3 pbc="T T T"
Tl 6.369 3.677 4.559
Tl 7.969 2.754 1.947
Ba 9.554 5.516 3.900
Tl 4.770 2.754 1.947
Tl 6.369 5.524 1.947
Hg 0.000 0.000 0.000
```

Properties
Calculated total energy (eV per cell): -398.4
Total moment (μB per atom): 0.000
E_form (meV/atom): -211.9
Symmetry: F-43m